La2IrAu | Alexandria | PBE | optimized geometry; crystal system = monoclinic; energy relative to the elements = -0.706 eV/atom
1.0
7.349 0.000 0.000
0.000 7.371 0.000
-3.663 0.000 3.683
La Ir Au
4 2 2
direct
0.000 0.250 0.000
0.000 0.750 0.000
0.500 0.250 0.000
0.500 0.750 0.000
0.000 0.000 0.500
0.500 0.500 0.500
0.000 0.500 0.500
0.500 0.000 0.500


CdTc2Cl | Alexandria | PBE | optimized geometry; raw formation energy = 960 meV/atom; crystal system = tetragonal; polymorph energy (0 for the lowest one) = 973 meV/atom
1.0
3.590 0.000 0.000
0.000 3.590 0.000
0.000 0.000 12.551
Cd Tc Cl
2 4 2
direct
0.000 0.000 0.000
0.500 0.500 0.500
0.000 0.500 0.250
0.000 0.500 0.750
0.500 0.000 0.250
0.500 0.000 0.750
0.000 0.000 0.500
0.500 0.500 0.000


IrRhW | Alexandria | PBE | optimized geometry; crystal system = hexagonal; energy relative to the elements = 0.020 eV/atom; polymorph energy (0 for the lowest one) = 289 meV/atom
1.0
4.363 0.000 0.000
-2.181 3.778 0.000
0.000 0.000 5.481
Ir Rh W
2 2 2
direct
0.333 0.667 0.250
0.667 0.333 0.750
0.333 0.667 0.750
0.667 0.333 0.250
0.000 0.000 0.000
0.000 0.000 0.500


PmGa2Ir3 | Alexandria | PBE | optimized geometry; crystal system = hexagonal; energy relative to the elements = -0.646 eV/atom
1.0
5.610 0.000 0.000
-2.805 4.858 0.000
0.000 0.000 3.906
Pm Ga Ir
1 2 3
direct
0.000 0.000 0.000
0.333 0.667 0.000
0.667 0.333 0.000
0.000 0.500 0.500
0.500 0.000 0.500
0.500 0.500 0.500


La2YSbRh | Alexandria | PBE | optimized geometry; raw formation energy = 117 meV/atom; crystal system = tetragonal
1.0
6.020 0.000 0.000
0.000 6.020 0.000
0.000 0.000 4.889
La Y Sb Rh
2 1 1 1
direct
0.000 0.500 0.000
0.500 0.000 0.000
0.000 0.000 0.500
0.500 0.500 0.000
0.500 0.500 0.500


PmHoP2Rh2 | Alexandria | PBE | optimized geometry; crystal system = trigonal; energy relative to the elements = -1.225 eV/atom
1.0
4.056 0.000 0.000
-2.028 3.513 0.000
0.000 0.000 8.031
Pm Ho P Rh
1 1 2 2
direct
0.000 0.000 0.000
0.000 0.000 0.500
0.333 0.667 0.257
0.667 0.333 0.743
0.333 0.667 0.743
0.667 0.333 0.257


FeAs | Alexandria | PBE | optimized geometry; crystal system = orthorhombic; energy relative to the elements = 0.006 eV/atom
1.0
2.991 0.000 0.000
0.000 10.784 0.000
0.000 0.000 5.505
Fe As
6 6
direct
0.250 0.122 0.002
0.250 0.378 0.002
0.250 0.750 0.701
0.750 0.250 0.299
0.750 0.622 0.998
0.750 0.878 0.998
0.250 0.250 0.648
0.250 0.533 0.704
0.250 0.967 0.704
0.750 0.033 0.296
0.750 0.467 0.296
0.750 0.750 0.352


CsSi2Au | Alexandria | PBE | optimized geometry; raw formation energy = 896 meV/atom; crystal system = cubic; polymorph energy (0 for the lowest one) = 687 meV/atom
1.0
7.214 0.000 0.000
0.000 7.214 0.000
0.000 0.000 7.214
Cs Si Au
4 8 4
direct
0.000 0.000 0.000
0.000 0.500 0.500
0.500 0.000 0.500
0.500 0.500 0.000
0.250 0.250 0.250
0.250 0.250 0.750
0.250 0.750 0.250
0.250 0.750 0.750
0.750 0.250 0.250
0.750 0.250 0.750
0.750 0.750 0.250
0.750 0.750 0.750
0.000 0.000 0.500
0.000 0.500 0.000
0.500 0.000 0.000
0.500 0.500 0.500


AgHPd3 | Alexandria | PBE | optimized geometry; crystal system = monoclinic; polymorph energy (0 for the lowest one) = 7 meV/atom
1.0
5.035 -2.822 0.000
5.035 2.822 0.000
-1.854 0.000 4.668
Ag H Pd
2 2 6
direct
0.000 0.000 0.000
0.500 0.500 0.000
0.144 0.144 0.699
0.646 0.646 0.702
0.002 0.501 0.995
0.252 0.752 0.497
0.257 0.257 0.487
0.501 0.002 0.995
0.752 0.252 0.497
0.756 0.756 0.487


Tb6Pr3Sm2Ho | Alexandria | PBE | optimized geometry; crystal system = monoclinic; energy relative to the elements = 0.015 eV/atom
1.0
3.128 -5.417 0.000
3.128 5.417 0.000
-2.081 0.000 11.739
Tb Pr Sm Ho
6 3 2 1
direct
0.082 0.415 0.247
0.250 0.250 0.753
0.415 0.082 0.247
0.585 0.918 0.753
0.750 0.750 0.247
0.918 0.585 0.753
0.167 0.833 0.500
0.500 0.500 0.500
0.833 0.167 0.500
0.333 0.667 0.000
0.667 0.333 0.000
0.000 0.000 0.000


Hf2Ti2Se3 | Alexandria | PBE | optimized geometry; raw formation energy = -734 meV/atom; crystal system = monoclinic
1.0
6.249 0.000 0.000
0.000 6.407 0.000
-1.179 0.000 6.631
Hf Ti Se
4 4 6
direct
0.148 0.235 0.007
0.148 0.265 0.507
0.852 0.735 0.493
0.852 0.765 0.993
0.439 0.636 0.139
0.439 0.864 0.639
0.561 0.136 0.361
0.561 0.364 0.861
0.153 0.593 0.796
0.153 0.907 0.296
0.500 0.000 0.000
0.500 0.500 0.500
0.847 0.093 0.704
0.847 0.407 0.204


ZrAl2Zn | Alexandria | PBE | optimized geometry; crystal system = orthorhombic; energy relative to the elements = -0.252 eV/atom
1.0
5.785 0.000 0.000
0.000 8.496 0.000
0.000 0.000 2.935
Zr Al Zn
2 4 2
direct
0.000 0.000 0.000
0.500 0.500 0.000
0.250 0.250 0.500
0.250 0.750 0.500
0.750 0.250 0.500
0.750 0.750 0.500
0.000 0.500 0.000
0.500 0.000 0.000


no.,uncorrected energy (eV per atom)
1,-6.20
2,-4.91
3,-9.70
4,-6.88
5,-5.44
6,-7.03
7,-6.55
8,-2.85
9,-4.42
10,-4.66
11,-7.33
12,-4.58